w.
Below is crystalline Cs2LiVI6 at its relaxed geometry, with properties calculated at the PBE-GGA level.

DOS(E_F)   10.0 states/eV per cell
Magnetization   2.0 Bohr magnetons per cell

Geometry as POSCAR:
```
Cs2LiVI6
1.0
8.2574 0.0000 0.0000
0.0000 8.2574 0.0000
4.1287 4.1287 5.8423
Cs I Li V
2 6 1 1
Direct
0.7500 0.2500 0.5000
0.2500 0.7500 0.5000
0.2397 0.2397 0.5207
0.7603 0.7603 0.4793
0.2398 0.2398 0.0000
0.7602 0.7602 0.0000
0.7602 0.2398 0.0000
0.2398 0.7602 0.0000
0.5000 0.5000 0.0000
0.0000 0.0000 0.0000
```

***

x.
Below is crystalline Cs2LiVI6 at its relaxed geometry, with properties calculated at the PBE-GGA level.

DOS(E_F)   19.4 states/eV per cell
Magnetization   4.0 Bohr magnetons per cell

Geometry as POSCAR:
```
Cs2LiVI6
1.0
8.2667 0.0000 0.0000
4.1333 7.1591 0.0000
4.1333 2.3864 13.7732
Cs Li V I
4 2 2 12
Direct
0.8797 0.8797 0.3608
0.1203 0.1203 0.6392
0.7067 0.7067 0.8798
0.2933 0.2933 0.1202
0.0000 0.0000 0.0000
0.5000 0.5000 0.5000
0.5845 0.5845 0.2466
0.4155 0.4155 0.7534
0.8625 0.3870 0.3636
0.3870 0.8625 0.3636
0.3870 0.3870 0.3636
0.1375 0.6130 0.6364
0.6130 0.1375 0.6364
0.6130 0.6130 0.6364
0.6961 0.2158 0.8722
0.2158 0.6961 0.8722
0.2158 0.2158 0.8722
0.3039 0.7842 0.1278
0.7842 0.3039 0.1278
0.7842 0.7842 0.1278
```

***

Top of the stability list: x, leading by 25 meV/atom.

***

w.
Below is crystalline Cs2MgI2 at its relaxed geometry, with properties calculated at the PBE-GGA level.

DOS(E_F)   0.0 states/eV per cell
Magnetization   0.0 Bohr magnetons per cell

Geometry as POSCAR:
```
Cs2MgI2
1.0
10.5692 0.0000 0.0000
0.0000 10.5692 0.0000
0.0000 0.0000 4.8609
Cs I Mg
4 4 2
Direct
0.1504 0.6504 0.5000
0.6504 0.8496 0.5000
0.8496 0.3496 0.5000
0.3496 0.1504 0.5000
0.3507 0.8507 0.0000
0.8507 0.6493 0.0000
0.6493 0.1493 0.0000
0.1493 0.3507 0.0000
0.0000 0.0000 0.0000
0.5000 0.5000 0.0000
```

***

x.
Below is crystalline Cs2MgI2 at its relaxed geometry, with properties calculated at the PBE-GGA level.

DOS(E_F)   0.0 states/eV per cell
Magnetization   0.0 Bohr magnetons per cell

Geometry as POSCAR:
```
Cs2MgI2
1.0
10.7467 0.0000 0.0000
0.0000 10.7467 0.0000
0.0000 0.0000 4.7527
Cs I Mg
4 4 2
Direct
0.3569 0.8569 0.0000
0.8569 0.6431 0.0000
0.6431 0.1431 0.0000
0.1431 0.3569 0.0000
0.1545 0.6545 0.5000
0.6545 0.8455 0.5000
0.8455 0.3455 0.5000
0.3455 0.1545 0.5000
0.0000 0.0000 0.0000
0.5000 0.5000 0.0000
```

***

Top of the stability list: w, leading by 24 meV/atom.

***

w.
Below is crystalline CsMg3I at its relaxed geometry, with properties calculated at the PBE-GGA level.

DOS(E_F)   0.0 states/eV per cell
Magnetization   0.0 Bohr magnetons per cell

Geometry as POSCAR:
```
CsMg3I
1.0
7.4959 0.0000 0.0000
0.0000 7.4959 0.0000
0.0000 0.0000 7.4959
Cs I Mg
1 1 3
Direct
0.0000 0.0000 0.0000
0.5000 0.5000 0.5000
0.0000 0.5000 0.0000
0.0000 0.0000 0.5000
0.5000 0.0000 0.0000
```

***

x.
Below is crystalline CsMg3I at its relaxed geometry, with properties calculated at the PBE-GGA level.

DOS(E_F)   1.1 states/eV per cell
Magnetization   0.0 Bohr magnetons per cell

Geometry as POSCAR:
```
CsMg3I
1.0
-4.6767 -1.1033 -4.4353
4.4652 -2.4571 -4.0970
-0.9753 -5.9587 2.5107
Cs I Mg
1 1 3
Direct
0.5000 0.5000 0.5000
0.0000 0.0000 0.0000
0.0000 0.5000 0.0000
0.0000 0.0000 0.5000
0.5000 0.0000 0.0000
```

***

Top of the stability list: x, leading by 317 meV/atom.

***

w.
Below is crystalline Cs2MgPdI6 at its relaxed geometry, with properties calculated at the PBE-GGA level.

DOS(E_F)   4.2 states/eV per cell
Magnetization   0.0 Bohr magnetons per cell

Geometry as POSCAR:
```
Cs2MgPdI6
1.0
8.2346 0.0000 0.0000
0.0000 8.2346 0.0000
4.1173 4.1173 5.8334
Cs I Mg Pd
2 6 1 1
Direct
0.7500 0.2500 0.5000
0.2500 0.7500 0.5000
0.2450 0.2450 0.5100
0.7550 0.7550 0.4900
0.2449 0.2449 0.0000
0.7551 0.7551 0.0000
0.7551 0.2449 0.0000
0.2449 0.7551 0.0000
0.5000 0.5000 0.0000
0.0000 0.0000 0.0000
```

***

x.
Below is crystalline Cs2MgPdI6 at its relaxed geometry, with properties calculated at the PBE-GGA level.

DOS(E_F)   10.8 states/eV per cell
Magnetization   0.0 Bohr magnetons per cell

Geometry as POSCAR:
```
Cs2MgPdI6
1.0
-0.6139 8.0785 1.2065
-3.7183 2.8678 6.7115
10.7465 3.5609 9.4306
Cs Mg Pd I
4 2 2 12
Direct
0.8806 0.8806 0.3582
0.1194 0.1194 0.6418
0.7032 0.7032 0.8903
0.2968 0.2968 0.1097
0.5836 0.5836 0.2492
0.4164 0.4164 0.7508
0.0000 0.0000 0.0000
0.5000 0.5000 0.5000
0.8640 0.3782 0.3795
0.3782 0.8640 0.3795
0.3782 0.3782 0.3795
0.1360 0.6218 0.6205
0.6218 0.1360 0.6205
0.6218 0.6218 0.6205
0.7088 0.2057 0.8799
0.2057 0.7088 0.8799
0.2057 0.2057 0.8799
0.2912 0.7943 0.1201
0.7943 0.2912 0.1201
0.7943 0.7943 0.1201
```

***

Top of the stability list: x, leading by 25 meV/atom.

***

w.
Below is crystalline Cs2MgTlI6 at its relaxed geometry, with properties calculated at the PBE-GGA level.

DOS(E_F)   10.4 states/eV per cell
Magnetization   0.0 Bohr magnetons per cell

Geometry as POSCAR:
```
Cs2MgTlI6
1.0
-2.9913 6.8979 4.0985
-8.0822 -2.0377 -2.4692
-1.4462 -6.6580 10.2280
Cs Mg Tl I
4 2 2 12
Direct
0.0135 0.9453 0.2512
0.5135 0.5547 0.7512
0.9865 0.0547 0.7488
0.4865 0.4453 0.2488
0.5000 0.0000 0.0000
0.0000 0.5000 0.5000
0.5000 0.0000 0.5000
0.0000 0.5000 0.0000
0.3007 0.7226 0.0300
0.8007 0.7774 0.5300
0.6993 0.2774 0.9700
0.1993 0.2226 0.4700
0.2766 0.6961 0.4710
0.7766 0.8039 0.9710
0.7234 0.3039 0.5290
0.2234 0.1961 0.0290
0.9443 0.4914 0.2623
0.4443 0.0086 0.7623
0.0557 0.5086 0.7377
0.5557 0.9914 0.2377
```

***

x.
Below is crystalline Cs2MgTlI6 at its relaxed geometry, with properties calculated at the PBE-GGA level.

DOS(E_F)   4.1 states/eV per cell
Magnetization   0.0 Bohr magnetons per cell

Geometry as POSCAR:
```
Cs2MgTlI6
1.0
-8.3278 -2.1579 -0.9146
1.3796 -7.2424 4.5265
-4.8141 -1.7217 6.9799
Cs I Tl Mg
2 6 1 1
Direct
0.7500 0.2500 0.5000
0.2500 0.7500 0.5000
0.2599 0.2599 0.4801
0.7401 0.7401 0.5199
0.2597 0.2597 0.0000
0.7403 0.7403 0.0000
0.7403 0.2597 0.0000
0.2597 0.7403 0.0000
0.0000 0.0000 0.0000
0.5000 0.5000 0.0000
```

***

Top of the stability list: w, leading by 6 meV/atom.

***

w.
Below is crystalline Cs2MgVI6 at its relaxed geometry, with properties calculated at the PBE-GGA level.

DOS(E_F)   0.0 states/eV per cell
Magnetization   3.0 Bohr magnetons per cell

Geometry as POSCAR:
```
Cs2MgVI6
1.0
-4.5886 0.6515 -6.8503
1.0114 -8.0804 -1.4460
-6.6013 -4.8740 -1.0347
Cs I Mg V
2 6 1 1
Direct
0.7500 0.2500 0.5000
0.2500 0.7500 0.5000
0.2469 0.2469 0.5062
0.7531 0.7531 0.4938
0.2469 0.2469 0.0000
0.7531 0.7531 0.0000
0.7531 0.2469 0.0000
0.2469 0.7531 0.0000
0.5000 0.5000 0.0000
0.0000 0.0000 0.0000
```

***

x.
Below is crystalline Cs2MgVI6 at its relaxed geometry, with properties calculated at the PBE-GGA level.

Magnetization   6.0 Bohr magnetons per cell

Geometry as POSCAR:
```
Cs2MgVI6
1.0
8.3138 0.0000 0.0000
4.1569 7.2000 0.0000
4.1569 2.4000 13.8078
Cs Mg V I
4 2 2 12
Direct
0.8795 0.8795 0.3615
0.1205 0.1205 0.6385
0.7058 0.7058 0.8827
0.2942 0.2942 0.1173
0.0000 0.0000 0.0000
0.5000 0.5000 0.5000
0.5845 0.5845 0.2465
0.4155 0.4155 0.7535
0.8625 0.3846 0.3682
0.3846 0.8625 0.3682
0.3846 0.3846 0.3682
0.1375 0.6154 0.6318
0.6154 0.1375 0.6318
0.6154 0.6154 0.6318
0.7049 0.2095 0.8760
0.2095 0.7049 0.8760
0.2095 0.2095 0.8760
0.2951 0.7905 0.1240
0.7905 0.2951 0.1240
0.7905 0.7905 0.1240
```

***

Top of the stability list: x, leading by 44 meV/atom.

***

w.
Below is crystalline Cs3MnI6 at its relaxed geometry, with properties calculated at the PBE-GGA level.

DOS(E_F)   7.6 states/eV per cell
Magnetization   4.0 Bohr magnetons per cell

Geometry as POSCAR:
```
Cs3MnI6
1.0
9.0451 0.0000 0.0000
0.0000 9.0451 0.0000
4.5225 4.5225 6.3904
Cs I Mn
3 6 1
Direct
0.7500 0.2500 0.5000
0.2500 0.7500 0.5000
0.0000 0.0000 0.0000
0.2818 0.2818 0.4363
0.7182 0.7182 0.5637
0.2818 0.2818 0.0000
0.7182 0.7182 0.0000
0.7182 0.2818 0.0000
0.2818 0.7182 0.0000
0.5000 0.5000 0.0000
```

***

x.
Below is crystalline Cs3MnI6 at its relaxed geometry, with properties calculated at the PBE-GGA level.

DOS(E_F)   18.3 states/eV per cell
Magnetization   7.7 Bohr magnetons per cell

Geometry as POSCAR:
```
Cs3MnI6
1.0
-6.2601 1.0291 1.4896
-3.3264 -3.0856 -11.8476
-0.2109 -10.8337 6.5984
Cs Mn I
6 2 12
Direct
0.6146 0.9010 0.7090
0.1146 0.7090 0.9010
0.1024 0.4139 0.5861
0.6024 0.5861 0.4139
0.1146 0.0990 0.2910
0.6146 0.2910 0.0990
0.1016 0.1965 0.8035
0.6016 0.8035 0.1965
0.1090 0.7350 0.5927
0.6090 0.5927 0.7350
0.2092 0.3951 0.9081
0.7092 0.9081 0.3951
0.1964 0.0689 0.9311
0.7195 0.2288 0.7712
0.2195 0.7712 0.2288
0.6964 0.9311 0.0689
0.2092 0.0919 0.6049
0.7092 0.6049 0.0919
0.1090 0.4073 0.2650
0.6090 0.2650 0.4073
```

***

Top of the stability list: x, leading by 13 meV/atom.

***

w.
Below is crystalline Cs2MnI4 at its relaxed geometry, with properties calculated at the PBE-GGA level.

Magnetization   5.0 Bohr magnetons per cell

Geometry as POSCAR:
```
Cs2MnI4
1.0
-2.1372 5.4798 0.4881
-1.6295 -0.1304 -5.6711
-10.3346 -0.8450 -0.0824
Cs I Mn
2 4 1
Direct
0.3598 0.3598 0.2805
0.6402 0.6402 0.7195
0.1525 0.1525 0.6950
0.8475 0.8475 0.3050
0.0000 0.5000 0.0000
0.5000 0.0000 0.0000
0.0000 0.0000 0.0000
```

***

x.
Below is crystalline Cs2MnI4 at its relaxed geometry, with properties calculated at the PBE-GGA level.

DOS(E_F)   0.0 states/eV per cell
Magnetization   10.0 Bohr magnetons per cell

Geometry as POSCAR:
```
Cs2MnI4
1.0
-3.1953 -7.2794 -1.8517
-1.0026 -1.6531 8.2289
-8.1070 7.5516 0.5293
Cs Mn I
4 2 8
Direct
0.7023 0.7500 0.0383
0.2977 0.2500 0.9617
0.2020 0.2500 0.4163
0.7980 0.7500 0.5837
0.3036 0.7500 0.2148
0.6964 0.2500 0.7852
0.5170 0.4976 0.2774
0.1439 0.7500 0.9582
0.8561 0.2500 0.0418
0.5170 0.0024 0.2774
0.9121 0.2500 0.6464
0.4830 0.9976 0.7226
0.4830 0.5024 0.7226
0.0879 0.7500 0.3536
```

***

Top of the stability list: x, leading by 58 meV/atom.

***

w.
Below is crystalline CsMnI2 at its relaxed geometry, with properties calculated at the PBE-GGA level.

DOS(E_F)   0.0 states/eV per cell
Magnetization   6.0 Bohr magnetons per cell

Geometry as POSCAR:
```
CsMnI2
1.0
0.0000 4.3566 4.3566
4.3566 0.0000 4.3566
4.3566 4.3566 0.0000
Cs I Mn
1 2 1
Direct
0.5000 0.5000 0.5000
0.2500 0.2500 0.2500
0.7500 0.7500 0.7500
0.0000 0.0000 0.0000
```

***

x.
Below is crystalline CsMnI2 at its relaxed geometry, with properties calculated at the PBE-GGA level.

Magnetization   4.0 Bohr magnetons per cell

Geometry as POSCAR:
```
CsMnI2
1.0
6.3450 0.0000 0.0000
3.1725 5.4949 0.0000
3.1725 1.8316 8.0662
Cs I Mn
1 2 1
Direct
0.5000 0.5000 0.5000
0.1051 0.1051 0.6848
0.8949 0.8949 0.3152
0.0000 0.0000 0.0000
```

***

Top of the stability list: x, leading by 225 meV/atom.

***

w.
Below is crystalline Cs2NaMnI6 at its relaxed geometry, with properties calculated at the PBE-GGA level.

DOS(E_F)   8.4 states/eV per cell
Magnetization   4.0 Bohr magnetons per cell

Geometry as POSCAR:
```
Cs2NaMnI6
1.0
8.4564 0.0000 0.0000
0.0000 8.4564 0.0000
4.2282 4.2282 5.9810
Cs I Mn Na
2 6 1 1
Direct
0.7500 0.2500 0.5000
0.2500 0.7500 0.5000
0.2343 0.2343 0.5314
0.7657 0.7657 0.4686
0.2344 0.2344 0.0000
0.7656 0.7656 0.0000
0.7656 0.2344 0.0000
0.2344 0.7656 0.0000
0.0000 0.0000 0.0000
0.5000 0.5000 0.0000
```

***

x.
Below is crystalline Cs2NaMnI6 at its relaxed geometry, with properties calculated at the PBE-GGA level.

DOS(E_F)   3.0 states/eV per cell
Magnetization   4.0 Bohr magnetons per cell

Geometry as POSCAR:
```
Cs2NaMnI6
1.0
7.6360 0.0000 0.0000
0.0000 8.2495 0.0000
0.0000 -4.1248 7.1443
Cs Na Mn I
2 1 1 6
Direct
0.2029 0.3333 0.6667
0.7971 0.6667 0.3333
0.5000 0.0000 0.0000
0.0000 0.0000 0.0000
0.7857 0.1616 0.3232
0.7857 0.1616 0.8384
0.7857 0.6768 0.8384
0.2143 0.8384 0.1616
0.2143 0.3232 0.1616
0.2143 0.8384 0.6768
```

***

Top of the stability list: x, leading by 22 meV/atom.